P) Density functional theory data (PBE) for an optimized crystal structure of NiHgIr.

Cell: 4.3399 4.3399 2.9057 Å, 90.00 90.00 120.00°
Site moments in Bohr magnetons follow the coordinates.
Positions (direct):
1 Hg 0.0000 0.0000 0.9996  0.00
2 Ir 0.3333 0.6667 0.4996  0.33
3 Ni 0.6667 0.3333 0.5008  0.41

Values from the calculation:
DOS at the Fermi energy: 4.881 states/eV per cell
Total magnetization: 0.7 μB/cell

---

Q) Density functional theory data (PBE) for an optimized crystal structure of NiHgIr.

Cell: 5.9559 5.9559 5.9559 Å, 152.00 152.00 40.01°
Site moments in Bohr magnetons follow the coordinates.
Positions (direct):
1 Hg 0.0062 0.0062 0.0000  -0.01
2 Ir 0.3137 0.3137 0.0000  0.47
3 Ni 0.6801 0.6801 0.0000  0.49

Values from the calculation:
DOS at the Fermi energy: 3.276 states/eV per cell
Total magnetization: 0.9 μB/cell

---

Stability, lowest: P)

---

P) Density functional theory data (PBE) for an optimized crystal structure of NiHgIr.

Cell: 4.1878 4.1878 4.1878 Å, 60.00 60.00 60.00°
Site moments in Bohr magnetons follow the coordinates.
Positions (direct):
1 Hg 0.0000 0.0000 0.0000  -0.02
2 Ir 0.5000 0.5000 0.5000  0.65
3 Ni 0.7500 0.7500 0.7500  0.69

Values from the calculation:
DOS at the Fermi energy: 4.754 states/eV per cell
Total magnetization: 1.3 μB/cell

---

Q) Density functional theory data (PBE) for an optimized crystal structure of NiHgIr.

Cell: 2.8513 2.8513 6.6247 Å, 90.00 90.00 120.00°
Site moments in Bohr magnetons follow the coordinates.
Positions (direct):
1 Hg 0.0000 0.0000 0.9874  -0.01
2 Ir 0.6667 0.3333 0.3608  0.25
3 Ni 0.3333 0.6667 0.6518  0.37

Values from the calculation:
DOS at the Fermi energy: 3.849 states/eV per cell
Total magnetization: 0.6 μB/cell

---

Stability, lowest: P)

---

P) Density functional theory data (PBE) for an optimized crystal structure of Ni2HgIr2.

Cell: 3.6411 3.6411 6.4582 Å, 73.63 73.63 90.00°
Positions (direct):
1 Ni 0.3982 0.3982 0.2035
2 Ni 0.6018 0.6018 0.7965
3 Ir 0.7500 0.2500 0.5000
4 Ir 0.2500 0.7500 0.5000
5 Hg 0.0000 0.0000 0.0000

Values from the calculation:
DOS at the Fermi energy: 7.526 states/eV per cell
Total magnetization: 0.0 μB/cell

---

Q) Density functional theory data (PBE) for an optimized crystal structure of Ni2HgIr2.

Cell: 7.3230 7.3230 2.7609 Å, 90.00 90.00 90.00°
Positions (direct):
1 Ni 0.1690 0.6690 0.5000
2 Ni 0.6690 0.8310 0.5000
3 Ni 0.8310 0.3310 0.5000
4 Ni 0.3310 0.1690 0.5000
5 Ir 0.3726 0.8726 0.0000
6 Ir 0.8726 0.6274 0.0000
7 Ir 0.6274 0.1274 0.0000
8 Ir 0.1274 0.3726 0.0000
9 Hg 0.0000 0.0000 0.0000
10 Hg 0.5000 0.5000 0.0000

Values from the calculation:
DOS at the Fermi energy: 15.446 states/eV per cell
Total magnetization: 0.0 μB/cell

---

Stability, lowest: P)